[1]
Here is an optimized crystal structure of Hf4SbOs from Alexandria via LeMat-Bulk. Energies are from PBE.

## Properties
M_tot (Bohr magnetons per cell): 0.00
Space-group type: No. 14
E_tot (eV per atom): -9.3240
Fermi-level density of states (states/eV per atom): 0.81
Energy relative to the elements, uncorrected (eV/atom): -0.130

abc: 5.759 6.917 7.445
angles: 90.00 89.37 90.00
Atoms (fractional coordinates):
Hf1 0.786 0.706 0.265
Hf2 0.714 0.206 0.735
Hf3 0.428 0.350 0.364
Hf4 0.072 0.850 0.636
Hf5 0.214 0.294 0.735
Hf6 0.286 0.794 0.265
Hf7 0.572 0.650 0.636
Hf8 0.928 0.150 0.364
Sb1 0.000 0.000 0.000
Sb2 0.500 0.500 0.000
Os1 0.500 0.000 0.500
Os2 0.000 0.500 0.500

---

[2]
Here is an optimized crystal structure of HfSi2SbOs from Alexandria via LeMat-Bulk. Energies are from PBE.

## Properties
M_tot (Bohr magnetons per cell): 0.00
Space-group type: No. 123
E_tot (eV per atom): -5.5834
Fermi-level density of states (states/eV per atom): 0.64
Energy relative to the elements, uncorrected (eV/atom): 1.647

abc: 4.962 4.806 4.962
angles: 90.00 90.00 90.00
Atoms (fractional coordinates):
Hf1 0.500 0.500 0.500
Si1 0.000 0.000 0.500
Si2 0.500 0.000 0.000
Os1 0.000 0.500 0.000
Sb1 0.000 0.000 0.000

---

[3]
Here is an optimized crystal structure of HfSb2TeOs from Alexandria via LeMat-Bulk. Energies are from PBE.

## Properties
M_tot (Bohr magnetons per cell): 0.01
Energy above the most stable polymorph in this dataset (eV/atom): 0.0000
Space-group type: No. 123
E_tot (eV per atom): -5.6402
Fermi-level density of states (states/eV per atom): 1.09
Energy relative to the elements, uncorrected (eV/atom): 0.874

abc: 4.998 4.998 5.558
angles: 90.00 90.00 90.00
Atoms (fractional coordinates):
Hf1 0.500 0.500 0.500
Te1 0.000 0.000 0.500
Os1 0.000 0.000 0.000
Sb1 0.000 0.500 0.000
Sb2 0.500 0.000 0.000

---

[4]
Here is an optimized crystal structure of HfSbTe2Os from Alexandria via LeMat-Bulk. Energies are from PBE.

## Properties
M_tot (Bohr magnetons per cell): 3.88
Energy above the most stable polymorph in this dataset (eV/atom): 0.4064
Space-group type: No. 123
E_tot (eV per atom): -5.0427
Fermi-level density of states (states/eV per atom): 1.07
Energy relative to the elements, uncorrected (eV/atom): 1.275

abc: 5.435 5.435 5.597
angles: 90.00 90.00 90.00
Atoms (fractional coordinates):
Hf1 0.000 0.000 0.000
Te1 0.000 0.500 0.000
Te2 0.500 0.000 0.000
Os1 0.500 0.500 0.500
Sb1 0.000 0.000 0.500

---

[5]
Here is an optimized crystal structure of HfSbTe2Os from Alexandria via LeMat-Bulk. Energies are from PBE.

## Properties
M_tot (Bohr magnetons per cell): 0.00
Energy above the most stable polymorph in this dataset (eV/atom): 0.0000
Space-group type: No. 123
E_tot (eV per atom): -5.4491
Fermi-level density of states (states/eV per atom): 1.23
Energy relative to the elements, uncorrected (eV/atom): 0.869

abc: 5.322 5.322 4.921
angles: 90.00 90.00 90.00
Atoms (fractional coordinates):
Hf1 0.500 0.500 0.500
Te1 0.000 0.500 0.000
Te2 0.500 0.000 0.000
Os1 0.000 0.000 0.000
Sb1 0.000 0.000 0.500

---

[6]
Here is an optimized crystal structure of HfZr2SbOs from Alexandria via LeMat-Bulk. Energies are from PBE.

## Properties
M_tot (Bohr magnetons per cell): 0.00
Space-group type: No. 123
E_tot (eV per atom): -7.3834
Fermi-level density of states (states/eV per atom): 1.12
Energy relative to the elements, uncorrected (eV/atom): 1.097

abc: 5.185 4.811 5.185
angles: 90.00 90.00 90.00
Atoms (fractional coordinates):
Hf1 0.500 0.500 0.500
Os1 0.000 0.500 0.000
Zr1 0.000 0.000 0.500
Zr2 0.500 0.000 0.000
Sb1 0.000 0.000 0.000

---

[7]
Here is an optimized crystal structure of HfSc3Os4 from Alexandria via LeMat-Bulk. Energies are from PBE.

## Properties
M_tot (Bohr magnetons per cell): 0.00
Energy of formation from the pure elements (eV/atom): -0.439
Space-group type: No. 123
E_tot (eV per atom): -9.6724
Fermi-level density of states (states/eV per atom): 1.03

abc: 3.232 3.232 12.886
angles: 90.00 90.00 90.00
Atoms (fractional coordinates):
Sc1 0.500 0.500 0.252
Sc2 0.500 0.500 0.500
Sc3 0.500 0.500 0.748
Os1 0.000 0.000 0.877
Os2 0.000 0.000 0.123
Os3 0.000 0.000 0.375
Os4 0.000 0.000 0.625
Hf1 0.500 0.500 0.000

---

[8]
Here is an optimized crystal structure of HfScOs3 from Alexandria via LeMat-Bulk. Energies are from PBE.

## Properties
M_tot (Bohr magnetons per cell): 0.00
Energy of formation from the pure elements (eV/atom): 1.522
Energy above the most stable polymorph in this dataset (eV/atom): 0.0000
Space-group type: No. 221
E_tot (eV per atom): -8.4724
Fermi-level density of states (states/eV per atom): 0.92

abc: 4.591 4.591 4.591
angles: 90.00 90.00 90.00
Atoms (fractional coordinates):
Sc1 0.000 0.000 0.000
Hf1 0.500 0.500 0.500
Os1 0.000 0.500 0.000
Os2 0.000 0.000 0.500
Os3 0.500 0.000 0.000

---

[9]
Here is an optimized crystal structure of Hf2ScOs3 from Alexandria via LeMat-Bulk. Energies are from PBE.

## Properties
M_tot (Bohr magnetons per cell): 0.00
Energy of formation from the pure elements (eV/atom): -0.628
Space-group type: No. 123
E_tot (eV per atom): -10.6160
Fermi-level density of states (states/eV per atom): 0.20

abc: 3.243 3.243 9.703
angles: 90.00 90.00 90.00
Atoms (fractional coordinates):
Hf1 0.500 0.500 0.830
Hf2 0.500 0.500 0.170
Sc1 0.500 0.500 0.500
Os1 0.000 0.000 0.000
Os2 0.000 0.000 0.669
Os3 0.000 0.000 0.331

---

[10]
Here is an optimized crystal structure of Hf3ScOs4 from Alexandria via LeMat-Bulk. Energies are from PBE.

## Properties
M_tot (Bohr magnetons per cell): 0.00
Energy of formation from the pure elements (eV/atom): -0.654
Space-group type: No. 47
E_tot (eV per atom): -10.7932
Fermi-level density of states (states/eV per atom): 0.32

abc: 3.244 4.588 9.167
angles: 90.00 90.00 90.00
Atoms (fractional coordinates):
Sc1 0.500 0.500 0.000
Os1 0.000 0.000 0.500
Os2 0.000 0.500 0.747
Os3 0.000 0.000 0.000
Os4 0.000 0.500 0.253
Hf1 0.500 0.000 0.246
Hf2 0.500 0.500 0.500
Hf3 0.500 0.000 0.754

---

[11]
Here is an optimized crystal structure of Hf2ScOs4 from Alexandria via LeMat-Bulk. Energies are from PBE.

## Properties
M_tot (Bohr magnetons per cell): 0.00
Energy of formation from the pure elements (eV/atom): 0.157
Space-group type: No. 139
E_tot (eV per atom): -10.0084
Fermi-level density of states (states/eV per atom): 1.39

abc: 5.480 5.480 5.480
angles: 108.96 109.73 109.73
Atoms (fractional coordinates):
Hf1 0.500 0.500 0.000
Hf2 0.500 0.000 0.500
Sc1 0.000 0.000 0.000
Os1 0.500 0.000 0.000
Os2 0.500 0.500 0.500
Os3 0.000 0.000 0.500
Os4 0.000 0.500 0.000

---

[12]
Here is an optimized crystal structure of HfScOs4 from Alexandria via LeMat-Bulk. Energies are from PBE.

## Properties
M_tot (Bohr magnetons per cell): 0.00
Energy of formation from the pure elements (eV/atom): -0.332
Space-group type: No. 216
E_tot (eV per atom): -10.5328
Fermi-level density of states (states/eV per atom): 0.80

abc: 5.224 5.224 5.224
angles: 60.00 60.00 60.00
Atoms (fractional coordinates):
Sc1 0.250 0.250 0.250
Hf1 0.000 0.000 0.000
Os1 0.625 0.625 0.125
Os2 0.625 0.125 0.625
Os3 0.625 0.625 0.625
Os4 0.125 0.625 0.625

---

[13]
Here is an optimized crystal structure of Hf4ScOs5 from Alexandria via LeMat-Bulk. Energies are from PBE.

## Properties
M_tot (Bohr magnetons per cell): 0.00
Energy of formation from the pure elements (eV/atom): -0.672
Space-group type: No. 123
E_tot (eV per atom): -10.9009
Fermi-level density of states (states/eV per atom): 0.16

abc: 3.244 3.244 16.254
angles: 90.00 90.00 90.00
Atoms (fractional coordinates):
Hf1 0.000 0.000 0.197
Hf2 0.000 0.000 0.399
Hf3 0.000 0.000 0.601
Hf4 0.000 0.000 0.803
Sc1 0.000 0.000 0.000
Os1 0.500 0.500 0.102
Os2 0.500 0.500 0.300
Os3 0.500 0.500 0.500
Os4 0.500 0.500 0.700
Os5 0.500 0.500 0.898

---

[14]
Here is an optimized crystal structure of HfSc2Os3 from Alexandria via LeMat-Bulk. Energies are from PBE.

## Properties
M_tot (Bohr magnetons per cell): 0.00
Energy of formation from the pure elements (eV/atom): -0.476
Space-group type: No. 65
E_tot (eV per atom): -9.8605
Fermi-level density of states (states/eV per atom): 1.06

abc: 3.234 4.567 7.208
angles: 108.47 90.00 90.00
Atoms (fractional coordinates):
Hf1 0.000 0.000 0.000
Sc1 0.000 0.332 0.664
Sc2 0.000 0.668 0.336
Os1 0.500 0.500 0.000
Os2 0.500 0.835 0.671
Os3 0.500 0.165 0.329